Zn2CrRe PBE optimized geometry; D(E_F) = 10.5 states/eV per cell; V = 14.7 Å³/atom; E_form = 0.846 eV per atom; offset from the most stable computed form = 70.9 kJ/mol of atoms
1.0
6.836 0.000 0.000
0.000 6.836 0.000
3.418 3.418 2.514
Re Cr Zn
2 2 4
Direct
0.750 0.250 0.500
0.000 0.000 0.000
0.250 0.750 0.500
0.500 0.500 0.000
0.615 0.125 0.250
0.135 0.625 0.250
0.375 0.385 0.750
0.875 0.865 0.750



CePm5Er6 PBE optimized geometry; D(E_F) = 18.4 states/eV per cell; V = 32.1 Å³/atom; E_form = 0.035 eV per atom
1.0
4.877 0.019 -1.422
-1.365 8.765 -4.565
0.102 -0.759 9.413
Pm Er Ce
5 6 1
Direct
0.334 0.834 0.669
0.000 0.500 0.000
0.334 0.334 0.667
0.666 0.666 0.333
0.666 0.166 0.331
0.834 0.586 0.669
0.166 0.917 0.331
0.166 0.414 0.331
0.500 0.247 0.000
0.500 0.753 0.000
0.834 0.083 0.669
0.000 0.000 0.000



Ca2CeCl PBE optimized geometry; D(E_F) = 7.5 states/eV per cell; V = 30.8 Å³/atom; E_form (uncorrected) = -0.5126 eV per atom
1.0
3.590 0.000 0.000
1.795 3.109 0.000
1.795 1.036 11.048
Ce Cl Ca
1 1 2
Direct
0.000 0.000 0.000
0.500 0.500 0.500
0.103 0.103 0.691
0.897 0.897 0.309



BaH3Pb PBE optimized geometry; D(E_F) = 1.7 states/eV per cell; V = 22.1 Å³/atom; offset from the most stable computed form = 21.7 kJ/mol of atoms
1.0
4.797 0.000 0.000
0.000 4.797 0.000
0.000 0.000 4.797
Ba H Pb
1 3 1
Direct
0.000 0.000 0.000
0.000 0.500 0.000
0.500 0.000 0.000
0.000 0.000 0.500
0.500 0.500 0.500